Arrangement a

Density functional theory data (GGA+U) for crystalline VTe3O at its relaxed geometry.

The structure in extended XYZ format:
```
5
Lattice="-0.755 -3.702 3.022 1.625 -3.076 -3.362 4.494 0.490 1.723" Properties=species:S:1:pos:R:3 pbc="T T T"
V 2.682 -3.144 0.692
Te 2.247 0.245 0.862
Te -0.378 -1.851 1.511
O 0.000 0.000 0.000
Te 0.812 -1.538 -1.681
```

Results
D(E_F) = 3.9 states/eV/cell
Magnetic moment = 3.02 μB/cell
Volume = 113 Å³/f.u.
Symmetry = No. 221



Arrangement b

Density functional theory data (GGA+U) for crystalline VTe3O at its relaxed geometry.

The structure in extended XYZ format:
```
5
Lattice="5.250 0.000 0.000 0.000 5.250 0.000 0.000 0.000 5.250" Properties=species:S:1:pos:R:3 pbc="T T T"
V 0.000 0.000 0.000
O 2.625 2.625 2.625
Te 0.000 0.000 2.625
Te 2.625 0.000 0.000
Te 0.000 2.625 0.000
```

Results
D(E_F) = 5.1 states/eV/cell
Magnetic moment = 1.08 μB/cell
Volume = 145 Å³/f.u.
Symmetry = No. 221



Energies relative to the minimum, eV/atom: arrangement a 0.000; arrangement b 0.465



Arrangement a

Density functional theory data (GGA+U) for crystalline VTeO4 at its relaxed geometry.

The structure in extended XYZ format:
```
12
Lattice="5.743 0.064 0.000 -2.261 5.280 0.000 -1.741 -2.672 4.777" Properties=species:S:1:pos:R:3 pbc="T T T"
O 2.082 0.535 3.325
O 0.951 3.175 3.840
O -1.481 4.761 0.937
V 2.631 4.038 0.000
O -1.905 3.161 3.322
O -0.341 2.142 1.455
Te 3.718 1.331 2.389
O 3.651 -0.488 1.452
Te 0.847 1.299 0.000
O 2.530 2.173 0.933
V 2.021 -1.274 2.389
O -0.775 0.521 3.844
```

Results
D(E_F) = 2.5 states/eV/cell
Magnetic moment = 3.42 μB/cell
Volume = 73 Å³/f.u.
Symmetry = No. 109



Arrangement b

Density functional theory data (GGA+U) for crystalline VTeO4 at its relaxed geometry.

The structure in extended XYZ format:
```
24
Lattice="-0.983 2.895 3.463 -0.911 -4.297 3.282 13.181 0.038 3.708" Properties=species:S:1:pos:R:3 pbc="T T T"
V 3.643 1.265 4.177
O 3.907 0.143 2.983
O 12.262 -0.051 4.535
V 10.445 -0.473 5.295
O 10.042 0.648 6.451
V 7.644 -2.629 6.277
Te 1.279 -0.492 1.018
O 1.243 -1.849 6.897
O 11.284 -1.940 6.294
O 7.380 -1.507 7.471
O 2.399 0.302 5.453
Te 10.008 -0.872 9.436
O -0.975 -1.313 5.919
O 4.799 0.851 5.774
O 7.327 0.195 3.412
O 10.044 0.485 3.557
V 0.842 -0.891 5.158
Te 4.516 -2.630 3.698
Te 6.771 1.266 6.756
O 8.888 -1.666 5.001
O 0.003 0.576 4.159
O 3.960 -1.559 7.042
O 6.488 -2.215 4.680
O 1.245 -2.012 4.003
```

Results
D(E_F) = 0.0 states/eV/cell
Magnetic moment = 4.00 μB/cell
Volume = 87 Å³/f.u.
Symmetry = No. 14



Arrangement c

Density functional theory data (GGA+U) for crystalline VTeO4 at its relaxed geometry.

The structure in extended XYZ format:
```
24
Lattice="-4.626 -1.153 -1.638 -0.461 -3.476 3.750 -5.075 6.138 10.017" Properties=species:S:1:pos:R:3 pbc="T T T"
O -6.253 2.460 9.417
O -3.910 -0.951 2.713
V -6.635 1.242 5.870
O -8.020 1.726 7.165
O -2.143 -0.217 4.965
V -3.528 0.267 6.260
O -4.988 -0.219 0.404
O -4.898 0.740 4.809
O -7.190 -0.718 6.069
O -9.303 3.344 9.156
Te -5.001 0.631 2.857
O -3.949 -1.669 6.252
O -5.265 0.769 7.320
Te -2.140 -2.070 4.435
O -2.288 -1.304 0.396
Te -5.161 0.878 9.273
O -5.175 1.727 11.725
O -0.859 -1.835 2.973
O -6.213 3.177 5.877
V -3.882 -1.773 0.937
O -2.973 2.226 6.060
Te -8.022 3.579 7.694
V -6.281 3.282 11.192
O -7.874 2.813 11.734
```

Results
Magnetic moment = 4.00 μB/cell
Volume = 79 Å³/f.u.
Symmetry = No. 14



Arrangement d

Density functional theory data (GGA+U) for crystalline VTeO4 at its relaxed geometry.

The structure in extended XYZ format:
```
12
Lattice="5.125 -0.067 -2.021 -0.398 5.558 -1.396 -1.289 -0.492 6.208" Properties=species:S:1:pos:R:3 pbc="T T T"
Te 2.132 2.959 1.447
O 3.828 3.919 1.337
Te -0.343 -0.206 2.883
O 0.930 2.329 3.467
O 3.295 1.716 2.521
O 1.509 -0.248 3.489
O -0.343 0.980 1.151
V 3.674 1.865 -1.906
O 1.949 4.886 -0.748
V 1.127 3.586 -1.435
O 2.242 2.185 -0.365
O -0.443 3.766 0.400
```

Results
D(E_F) = 0.0 states/eV/cell
Magnetic moment = 2.00 μB/cell
Volume = 79 Å³/f.u.
Symmetry = No. 1



Energies relative to the minimum, eV/atom: arrangement a 0.107; arrangement b 0.022; arrangement c 0.000; arrangement d 0.123



Arrangement a

Density functional theory data (GGA+U) for crystalline V2Te2O9 at its relaxed geometry.

The structure in extended XYZ format:
```
52
Lattice="-3.964 -4.940 -3.753 -2.492 -4.378 8.394 -7.691 6.676 1.199" Properties=species:S:1:pos:R:3 pbc="T T T"
Te -4.186 -5.188 4.931
O -1.801 -1.477 2.759
Te -10.076 -1.641 1.653
O -7.407 3.471 3.799
Te -9.961 2.545 0.908
Te -5.075 -2.950 -2.837
O -9.028 -5.431 4.260
O -5.585 -0.770 5.360
O -4.420 -4.542 1.439
V -9.972 -4.576 3.228
O -12.346 -1.166 3.081
V -8.026 5.262 3.228
O -8.856 2.713 -0.664
O -7.171 -4.220 0.650
V -10.831 -2.871 6.357
O -11.168 -3.798 4.600
O -5.699 -4.486 3.875
O -5.292 -5.355 6.504
O -9.831 -1.652 5.440
O -6.870 -3.176 7.133
O -8.397 4.721 1.571
O -10.089 0.748 -1.876
O -6.398 -2.125 -0.787
Te -9.072 0.307 8.676
O -5.098 0.422 2.814
V -4.175 1.933 2.612
O -4.316 -0.991 0.400
O -4.058 -3.391 7.716
Te -7.894 -1.607 5.065
O -8.562 -1.873 0.480
V -3.317 0.228 -0.517
O -9.930 1.691 7.642
O -6.976 1.578 5.189
O -5.750 -7.364 4.268
O -8.131 -0.250 3.715
O -2.979 1.155 1.240
O -4.217 -4.333 -1.802
Te -6.254 -1.036 0.775
V -5.891 -4.287 2.073
O -7.277 0.534 -1.293
V -6.121 -7.905 2.612
O -6.016 -2.393 2.125
O -6.740 -6.114 2.040
O -9.727 1.900 4.401
O -8.448 1.844 1.965
O -5.119 2.788 1.580
O -7.749 -0.518 6.626
Te -4.071 -1.001 4.186
O -3.627 -3.370 5.095
O -10.521 0.727 0.744
O -9.049 -3.065 3.025
V -8.256 1.644 3.767
```

Results
D(E_F) = 0.0 states/eV/cell
Magnetic moment = 0.00 μB/cell
Volume = 184 Å³/f.u.
Symmetry = No. 14



Arrangement b

Density functional theory data (GGA+U) for crystalline V2Te2O9 at its relaxed geometry.

The structure in extended XYZ format:
```
26
Lattice="14.897 0.029 -0.029 14.008 4.974 -0.011 0.889 -0.052 4.944" Properties=species:S:1:pos:R:3 pbc="T T T"
O 19.876 4.796 0.248
O 10.590 0.582 2.023
V 19.268 3.229 1.136
O 8.996 2.749 2.099
O 19.548 2.308 4.630
O 13.316 0.976 1.401
O 11.735 3.341 1.749
O 20.714 2.483 1.357
V 17.807 2.859 3.947
V 10.358 2.195 3.303
O 14.568 3.401 1.540
V 12.709 0.066 2.955
O 18.153 2.162 2.327
O 17.149 4.168 0.633
Te 23.277 4.395 1.294
O 25.602 3.833 3.993
O 19.184 4.428 2.822
Te 13.050 2.656 0.562
O 22.017 4.638 2.766
Te 6.491 0.632 3.535
O 16.445 4.070 3.410
O 12.099 1.503 3.844
Te 15.829 4.869 1.804
O 9.414 1.531 4.470
O 16.862 1.682 4.594
O 28.163 4.808 3.686
```

Results
D(E_F) = 0.0 states/eV/cell
Magnetic moment = 0.00 μB/cell
Volume = 182 Å³/f.u.
Symmetry = No. 43



Energies relative to the minimum, eV/atom: arrangement a 0.000; arrangement b 0.012



Arrangement a

Density functional theory data (GGA+U) for crystalline VTe2O6 at its relaxed geometry.

The structure in extended XYZ format:
```
9
Lattice="-3.037 -2.062 0.200 1.984 -0.058 -4.275 4.617 -6.665 1.388" Properties=species:S:1:pos:R:3 pbc="T T T"
V 2.308 -3.333 0.694
O -0.650 -2.508 -1.944
O 2.074 -6.544 -2.187
O 4.213 -6.278 -0.743
O 1.489 -2.242 -0.500
O 2.325 -3.677 -2.606
Te 1.223 -2.041 -2.473
Te 2.340 -6.744 -0.214
O 1.238 -5.108 -0.081
```

Results
Magnetic moment = 0.99 μB/cell
Volume = 131 Å³/f.u.
Symmetry = No. 12



Arrangement b

Density functional theory data (GGA+U) for crystalline VTe2O6 at its relaxed geometry.

The structure in extended XYZ format:
```
18
Lattice="5.416 -0.687 0.492 0.433 7.247 0.754 -0.994 0.611 7.205" Properties=species:S:1:pos:R:3 pbc="T T T"
O 5.171 0.422 0.950
V 4.397 6.275 1.566
O 2.384 4.875 5.097
Te 0.778 1.337 3.021
O 4.999 4.097 5.766
O 2.524 7.018 7.150
Te 4.077 5.833 5.429
O 0.210 1.124 4.806
O 1.180 2.872 6.819
O 4.645 6.047 3.644
O 3.675 4.299 1.631
V 0.458 0.895 6.884
Te 3.795 2.433 1.869
O 2.471 2.295 3.353
O -0.316 6.748 7.500
O -0.144 3.073 2.685
Te 1.060 4.738 6.582
O 2.331 0.152 1.301
```

Results
Magnetic moment = 2.00 μB/cell
Volume = 143 Å³/f.u.
Symmetry = No. 15



Energies relative to the minimum, eV/atom: arrangement a 0.094; arrangement b 0.000